Material: ReRh3
Method: DFT, GGA-PBE
State: optimized geometry

The structure in extended XYZ format:
```
16
Lattice="6.1606 0.0000 0.0000 0.0000 6.1606 0.0000 0.0000 0.0000 6.1606" Properties=species:S:1:pos:R:3 pbc="T T T"
Re 0.0000 0.0000 0.0000
Re 0.0000 3.0803 3.0803
Re 3.0803 0.0000 3.0803
Re 3.0803 3.0803 0.0000
Rh 0.0000 0.0000 3.0803
Rh 0.0000 3.0803 0.0000
Rh 1.5401 1.5401 1.5401
Rh 1.5401 1.5401 4.6204
Rh 1.5401 4.6204 1.5401
Rh 1.5401 4.6204 4.6204
Rh 3.0803 0.0000 0.0000
Rh 3.0803 3.0803 3.0803
Rh 4.6204 1.5401 1.5401
Rh 4.6204 1.5401 4.6204
Rh 4.6204 4.6204 1.5401
Rh 4.6204 4.6204 4.6204
```

ρ = 14.06 g/cm3
formation energy from the elements = 301 meV/atom
E_tot = -0.6118 Ry per atom
total magnetization = 0.00 μB per formula unit
distance to the lowest polymorph of the same formula = 0.4118 eV/atom
density of states at the Fermi level = 5.525 states/eV/f.u.

=====

Material: ReRh3
Method: DFT, GGA-PBE
State: optimized geometry

The structure in extended XYZ format:
```
4
Lattice="4.7146 0.0000 0.0000 0.0000 4.7146 0.0000 0.0000 0.0000 4.7146" Properties=species:S:1:pos:R:3 pbc="T T T"
Re 0.0000 0.0000 0.0000
Rh 0.0000 0.0000 2.3573
Rh 0.0000 2.3573 0.0000
Rh 2.3573 0.0000 0.0000
```

ρ = 7.84 g/cm3
formation energy from the elements = 1692 meV/atom
E_tot = -0.5096 Ry per atom
total magnetization = 0.00 μB per formula unit
distance to the lowest polymorph of the same formula = 1.8022 eV/atom
density of states at the Fermi level = 4.984 states/eV/f.u.

=====

Material: Re5Rh3
Method: DFT, GGA-PBE
State: optimized geometry

The structure in extended XYZ format:
```
16
Lattice="7.6606 0.0000 0.0000 -3.8303 6.6343 0.0000 0.0000 0.0000 4.8059" Properties=species:S:1:pos:R:3 pbc="T T T"
Re -0.7646 1.3244 1.2015
Re -3.0656 5.3099 3.6044
Re 1.5293 0.0000 1.2015
Re 0.7646 1.3244 3.6044
Re 0.0000 4.4228 0.0000
Re 0.0000 4.4228 2.4029
Re 3.8303 2.2114 0.0000
Re 3.8303 2.2114 2.4029
Re 6.1313 0.0000 3.6044
Re 3.0656 5.3099 1.2015
Rh -1.5617 2.7050 3.6044
Rh -2.2686 3.9293 1.2015
Rh 3.1235 0.0000 3.6044
Rh 1.5617 2.7050 1.2015
Rh 4.5371 0.0000 1.2015
Rh 2.2686 3.9293 3.6044
```

ρ = 16.86 g/cm3
formation energy from the elements = 224 meV/atom
E_tot = -0.7580 Ry per atom
total magnetization = 0.00 μB per formula unit
distance to the lowest polymorph of the same formula = 0.3660 eV/atom
density of states at the Fermi level = 6.416 states/eV/f.u.

=====

Material: Re3Rh5
Method: DFT, GGA-PBE
State: optimized geometry

The structure in extended XYZ format:
```
16
Lattice="7.6715 0.0000 0.0000 0.0000 7.8193 0.0000 0.0000 0.0000 3.8387" Properties=species:S:1:pos:R:3 pbc="T T T"
Re 0.0000 0.0000 0.0000
Re 1.8841 0.0000 1.9194
Re 1.9517 3.9097 1.9194
Re 3.8358 3.9097 0.0000
Re 5.7199 3.9097 1.9194
Re 5.7874 0.0000 1.9194
Rh 0.0000 1.9321 1.9194
Rh 0.0000 3.9097 0.0000
Rh 0.0000 5.8872 1.9194
Rh 1.9179 1.9548 0.0000
Rh 1.9179 5.8645 0.0000
Rh 3.8358 0.0000 0.0000
Rh 3.8358 1.9776 1.9194
Rh 3.8358 5.8417 1.9194
Rh 5.7537 1.9548 0.0000
Rh 5.7537 5.8645 0.0000
```

ρ = 15.48 g/cm3
formation energy from the elements = -44 meV/atom
E_tot = -0.6840 Ry per atom
total magnetization = 0.00 μB per formula unit
distance to the lowest polymorph of the same formula = 0.1001 eV/atom
density of states at the Fermi level = 9.434 states/eV/f.u.